1.
The following is a GGA-PBE calculation of a relaxed structure of SrLaBi2Se, from Alexandria.

The structure in POSCAR format:
```
SrLaBi2Se
1.0
5.9308 0.0000 0.0000
0.0000 5.9308 0.0000
0.0000 0.0000 5.5781
Sr La Bi Se
1 1 2 1
Direct
0.0000 0.0000 0.0000
0.5000 0.5000 0.5000
0.0000 0.5000 0.0000
0.5000 0.0000 0.0000
0.0000 0.0000 0.5000
```

Properties
- raw formation energy (eV/atom) = -0.09
- space group = No. 123
- M_tot (μB per formula unit) = 0.00
- crystal system = tetragonal

---

2.
The following is a GGA-PBE calculation of a relaxed structure of YInAgRu, from Alexandria.

The structure in POSCAR format:
```
YInAgRu
1.0
0.0000 3.4125 3.4125
3.4125 0.0000 3.4125
3.4125 3.4125 0.0000
Y In Ag Ru
1 1 1 1
Direct
0.0000 0.0000 0.0000
0.5000 0.5000 0.5000
0.7500 0.7500 0.7500
0.2500 0.2500 0.2500
```

Properties
- space group = No. 216
- formation enthalpy at 0 K (meV/atom) = -181
- M_tot (μB per formula unit) = 0.00
- crystal system = cubic

---

| no. | final energy (eV/atom) |
| --- | --- |
| 1 | -3.6618 |
| 2 | -5.5131 |